[1]
# ThTcGe, relaxed, DFT PBE-GGA
data_ThTcGe
_chemical_formula_sum 'Th2 Tc2 Ge2'
_cell_length_a 3.9484
_cell_length_b 3.9484
_cell_length_c 9.1206
_cell_angle_alpha 90.00
_cell_angle_beta 90.00
_cell_angle_gamma 90.00
_symmetry_space_group_name_H-M 'I 4 m m'
_symmetry_Int_Tables_number 107
_symmetry_space_group_name_Hall 'I 4 -2'
loop_
_atom_site_label
_atom_site_type_symbol
_atom_site_fract_x
_atom_site_fract_y
_atom_site_fract_z
_atom_site_occupancy
Th1 Th 0.0000 0.0000 0.0000 1
Tc1 Tc 0.0000 0.0000 0.4151 1
Ge1 Ge 0.0000 0.0000 0.6827 1
# Crystal system: tetragonal
# Total DFT energy (no corrections) (hartree per atom): -0.2699
# DFT formation energy (eV per atom): 0.122
# DOS(E_F) (states/eV per atom): 0.9059

=====

[2]
# Mg3HgN, relaxed, DFT PBE-GGA
data_Mg3HgN
_chemical_formula_sum 'Mg3 Hg1 N1'
_cell_length_a 4.3474
_cell_length_b 4.3474
_cell_length_c 4.3474
_cell_angle_alpha 90.00
_cell_angle_beta 90.00
_cell_angle_gamma 90.00
_symmetry_space_group_name_H-M 'P m -3 m'
_symmetry_Int_Tables_number 221
_symmetry_space_group_name_Hall '-P 4 2 3'
loop_
_atom_site_label
_atom_site_type_symbol
_atom_site_fract_x
_atom_site_fract_y
_atom_site_fract_z
_atom_site_occupancy
Mg1 Mg 0.0000 0.0000 0.5000 1
Hg1 Hg 0.5000 0.5000 0.5000 1
N1 N 0.0000 0.0000 0.0000 1
# Crystal system: cubic
# ΔE_f (raw) (eV/atom): -0.431
# Total DFT energy (no corrections) (hartree per atom): -0.1144
# DOS(E_F) (states/eV per atom): 0.3133

=====

[3]
# Li2PuU3S6, relaxed, DFT PBE-GGA
data_Li2PuU3S6
_chemical_formula_sum 'Li4 Pu2 U6 S12'
_cell_length_a 6.6423
_cell_length_b 11.4592
_cell_length_c 6.7854
_cell_angle_alpha 90.00
_cell_angle_beta 108.95
_cell_angle_gamma 90.00
_symmetry_space_group_name_H-M 'C 1 2/m 1'
_symmetry_Int_Tables_number 12
loop_
_symmetry_equiv_pos_as_xyz
'x,y,z'
'-x,-y,-z'
'-x,y,-z'
'x,-y,z'
'x+1/2,y+1/2,z'
'-x+1/2,-y+1/2,-z'
'-x+1/2,y+1/2,-z'
'x+1/2,-y+1/2,z'
loop_
_atom_site_label
_atom_site_type_symbol
_atom_site_fract_x
_atom_site_fract_y
_atom_site_fract_z
_atom_site_occupancy
Li1 Li 0.0000 0.1662 0.0000 1
Pu1 Pu 0.0000 0.5000 0.0000 1
U1 U 0.0000 0.0000 0.5000 1
U2 U 0.0000 0.3346 0.5000 1
S1 S 0.2395 0.0000 0.2423 1
S2 S 0.2499 0.1712 0.7553 1
# Crystal system: monoclinic
# ΔE_f (raw) (eV/atom): -1.381
# Total DFT energy (no corrections) (hartree per atom): -0.2859
# DOS(E_F) (states/eV per atom): 2.2186

=====

[4]
# Pu2AlSiPd6, relaxed, DFT PBE-GGA
data_Pu2AlSiPd6
_chemical_formula_sum 'Pu2 Al1 Si1 Pd6'
_cell_length_a 5.5109
_cell_length_b 6.3516
_cell_length_c 6.4964
_cell_angle_alpha 74.13
_cell_angle_beta 64.93
_cell_angle_gamma 64.40
_symmetry_space_group_name_H-M 'P -1'
_symmetry_Int_Tables_number 2
loop_
_symmetry_equiv_pos_as_xyz
'x,y,z'
'-x,-y,-z'
loop_
_atom_site_label
_atom_site_type_symbol
_atom_site_fract_x
_atom_site_fract_y
_atom_site_fract_z
_atom_site_occupancy
Pu1 Pu 0.0012 0.2490 0.2493 1
Al1 Al 0.5000 0.0000 0.5000 1
Si1 Si 0.5000 0.5000 0.0000 1
Pd1 Pd 0.0063 0.6925 0.2977 1
Pd2 Pd 0.3351 0.9142 0.9151 1
Pd3 Pd 0.4967 0.3077 0.7025 1
# Crystal system: triclinic
# ΔE_f (raw) (eV/atom): -0.540
# Total DFT energy (no corrections) (hartree per atom): -0.2734
# DOS(E_F) (states/eV per atom): 2.7489

=====

[5]
# CsCuAgCl6, relaxed, DFT PBE-GGA
data_CsCuAgCl6
_chemical_formula_sum 'Cs1 Cu1 Ag1 Cl6'
_cell_length_a 6.7230
_cell_length_b 6.7313
_cell_length_c 7.5566
_cell_angle_alpha 96.71
_cell_angle_beta 96.75
_cell_angle_gamma 105.78
_symmetry_space_group_name_H-M 'P 1'
_symmetry_Int_Tables_number 1
loop_
_symmetry_equiv_pos_as_xyz
'x,y,z'
loop_
_atom_site_label
_atom_site_type_symbol
_atom_site_fract_x
_atom_site_fract_y
_atom_site_fract_z
_atom_site_occupancy
Cs1 Cs 0.0000 0.0000 0.0000 1
Cu1 Cu 0.3195 0.6818 0.4991 1
Ag1 Ag 0.6518 0.3478 0.4994 1
Cl1 Cl 0.0375 0.6676 0.3149 1
Cl2 Cl 0.3328 0.9619 0.6848 1
Cl3 Cl 0.3625 0.4111 0.3127 1
Cl4 Cl 0.5900 0.6379 0.6858 1
Cl5 Cl 0.6424 0.0512 0.2950 1
Cl6 Cl 0.9479 0.3558 0.7043 1
# Crystal system: triclinic
# ΔE_f (raw) (eV/atom): -0.717
# Total DFT energy (no corrections) (hartree per atom): -0.1034
# DOS(E_F) (states/eV per atom): 0.3434

=====

[6]
# Cr2CuHIr, relaxed, DFT PBE-GGA
data_Cr2CuHIr
_chemical_formula_sum 'Cr2 Cu1 H1 Ir1'
_cell_length_a 3.7065
_cell_length_b 3.7065
_cell_length_c 3.8192
_cell_angle_alpha 90.00
_cell_angle_beta 90.00
_cell_angle_gamma 90.00
_symmetry_space_group_name_H-M 'P 4/m m m'
_symmetry_Int_Tables_number 123
_symmetry_space_group_name_Hall '-P 4 2'
loop_
_atom_site_label
_atom_site_type_symbol
_atom_site_fract_x
_atom_site_fract_y
_atom_site_fract_z
_atom_site_occupancy
Cr1 Cr 0.0000 0.5000 0.0000 1
Cu1 Cu 0.0000 0.0000 0.5000 1
H1 H 0.0000 0.0000 0.0000 1
Ir1 Ir 0.5000 0.5000 0.5000 1
# Crystal system: tetragonal
# Total DFT energy (no corrections) (hartree per atom): -0.2561
# DOS(E_F) (states/eV per atom): 1.1820